A PBEsol-optimized structure of CePb3, computed with SCAN.

Calculated values
DOS at the Fermi energy (states/eV/atom): 1.133
Total magnetization (μB per formula unit): 1.2
Final energy (eV per cell): -274.0
Space-group type: No. 221
Theoretical density (g cm⁻³): 11.5
Calculated formation energy (kJ/mol of atoms): -50.30

Cell lengths 4.790, 4.790, 4.790 Å; angles 90.00, 90.00, 90.00 degrees
Element x y z (fractional)
Ce 0.000 0.000 0.000
Pb 0.000 0.500 0.500
Pb 0.500 0.000 0.500
Pb 0.500 0.500 0.000